<a>
## CeY4Er7 (GGA-PBE)

Data for crystalline CeY4Er7 at its relaxed geometry.

```
12
Lattice="6.841 0.988 0.243 4.294 7.041 1.745 -1.829 -0.632 8.480" Properties=species:S:1:pos:R:3 pbc="T T T"
Y 3.148 2.411 6.529
Er 2.706 4.622 4.016
Y 7.706 6.095 7.258
Er 3.845 3.661 1.154
Er 3.420 0.494 0.122
Y 1.599 1.303 3.211
Er 4.975 1.732 3.592
Er 6.600 2.776 6.453
Ce 0.000 0.000 0.000
Er 5.461 3.737 9.315
Y 6.158 4.987 3.939
Er 4.331 5.666 6.876
```

Results
The total moment is 1.6 Bohr magnetons per cell. The space group is P-1, No. 2. As for the mass density: 7.295 g/cm³.



<b>
## CeY4Er7 (GGA-PBE)

Data for crystalline CeY4Er7 at its relaxed geometry.

```
12
Lattice="5.783 0.000 0.000 2.891 11.227 -0.356 2.891 0.235 5.953" Properties=species:S:1:pos:R:3 pbc="T T T"
Er 8.674 3.873 4.599
Er 2.891 0.972 3.025
Er 2.891 0.000 0.000
Y 5.783 8.819 2.618
Er 8.674 10.490 2.572
Er 5.783 5.827 4.391
Y 8.674 7.905 4.621
Y 5.783 2.644 2.979
Y 2.891 3.557 0.976
Ce 0.000 0.000 0.000
Er 5.783 5.635 1.206
Er 2.891 7.589 0.998
```

Results
The total moment is 0.0 Bohr magnetons per cell. The space group is C2/m, No. 12. As for the mass density: 7.151 g/cm³.



List of relative energies, unit meV/atom: <a> 0; <b> 189



<a>
## CeY12Er7 (GGA-PBE)

Data for crystalline CeY12Er7 at its relaxed geometry.

```
20
Lattice="9.273 0.000 -3.278 -4.636 8.031 -3.278 0.000 0.000 9.835" Properties=species:S:1:pos:R:3 pbc="T T T"
Er 2.318 4.015 1.639
Y -1.052 5.955 6.549
Y 2.245 8.021 -3.175
Ce 0.000 0.000 0.000
Y 1.047 5.965 3.270
Er 4.636 0.000 3.278
Y 3.590 2.066 0.008
Y 2.391 0.010 6.454
Er 2.318 4.015 -3.278
Y 4.631 3.889 3.286
Y -3.432 5.965 0.103
Er -2.318 4.015 3.278
Y 1.187 2.076 3.382
Er 4.636 0.000 -1.639
Y 3.449 5.955 -0.103
Y 0.006 4.142 -0.008
Er -2.318 4.015 -1.639
Y 8.069 2.066 3.175
Y 5.689 2.076 -3.270
Er 0.000 0.000 4.918
```

Results
The total moment is 1.3 Bohr magnetons per cell. The space group is Im-3, No. 204. As for the mass density: 5.391 g/cm³.



<b>
## CeY12Er7 (GGA-PBE)

Data for crystalline CeY12Er7 at its relaxed geometry.

```
20
Lattice="-1.803 -9.302 3.296 4.276 0.184 -9.073 4.822 5.675 6.722" Properties=species:S:1:pos:R:3 pbc="T T T"
Er 2.465 -0.450 -2.801
Y 5.816 -0.047 2.821
Y 3.727 1.685 -0.715
Y 4.368 -4.831 -4.796
Y 2.927 1.387 5.741
Y 7.357 3.143 1.189
Er 0.495 -3.524 1.208
Er 4.653 -4.773 -1.373
Y 2.862 -5.198 5.496
Y -0.062 -6.587 -0.244
Y 1.665 -1.532 3.482
Er 4.830 -2.993 3.745
Y 4.433 1.755 -4.552
Er 3.647 -1.722 0.472
Y 5.630 -1.911 -2.537
Y 1.479 -3.396 -1.877
Y 3.568 -5.128 1.660
Er 2.642 1.330 2.318
Er 6.800 0.081 -0.264
Ce 0.000 0.000 0.000
```

Results
The total moment is 2.0 Bohr magnetons per cell. The space group is R-3m, No. 166. As for the mass density: 6.016 g/cm³.



List of relative energies, unit meV/atom: <a> 449; <b> 0



<a>
## CeYEr3 (GGA-PBE)

Data for crystalline CeYEr3 at its relaxed geometry.

```
10
Lattice="5.372 0.000 0.000 0.000 6.993 0.070 -2.686 -0.099 8.303" Properties=species:S:1:pos:R:3 pbc="T T T"
Er 0.000 5.213 3.389
Er 0.000 5.253 0.082
Y 0.000 3.417 6.554
Y 2.686 3.477 1.819
Ce 0.000 1.693 3.335
Er 2.686 6.965 1.845
Er 2.686 1.641 8.291
Ce 2.686 5.201 5.038
Er 0.000 -0.071 6.528
Er 2.686 1.681 4.984
```

Results
The total moment is 2.4 Bohr magnetons per cell. The space group is C2/m, No. 12. As for the mass density: 7.779 g/cm³.



<b>
## CeYEr3 (GGA-PBE)

Data for crystalline CeYEr3 at its relaxed geometry.

```
20
Lattice="-5.332 6.820 -3.344 0.257 -4.734 -10.064 -5.193 0.987 10.293" Properties=species:S:1:pos:R:3 pbc="T T T"
Ce -1.369 1.076 -2.422
Ce -6.453 1.694 -5.933
Y -9.109 4.389 2.654
Er -3.866 0.598 -4.338
Er -6.300 3.080 4.511
Y -5.889 3.098 -2.102
Er -7.984 4.849 6.874
Ce -3.816 1.378 2.818
Er -2.284 -1.777 -9.989
Y -1.160 -1.316 -5.769
Er -6.866 6.246 0.801
Er -5.994 4.779 -5.296
Er -3.969 -0.008 -7.626
Er -3.403 -3.174 -3.916
Er -1.477 -0.262 0.761
Er -8.792 3.334 -3.876
Ce -8.899 1.996 -0.693
Y -4.379 -0.026 -1.013
Er -6.402 2.474 1.223
Er -4.274 -1.707 2.181
```

Results
The total moment is 4.3 Bohr magnetons per cell. The space group is P2_1/c, No. 14. As for the mass density: 7.746 g/cm³.



List of relative energies, unit meV/atom: <a> 0; <b> 74



<a>
## Ce2YEr (GGA-PBE)

Data for crystalline Ce2YEr at its relaxed geometry.

```
4
Lattice="5.633 0.000 0.000 2.816 4.878 0.000 2.816 1.626 4.599" Properties=species:S:1:pos:R:3 pbc="T T T"
Er 5.633 3.252 2.300
Y 0.000 0.000 0.000
Ce 2.816 1.626 1.150
Ce 8.449 4.878 3.449
```

Results
The total moment is 1.7 Bohr magnetons per cell. The space group is Fm-3m, No. 225. As for the mass density: 7.048 g/cm³.



<b>
## Ce2YEr (GGA-PBE)

Data for crystalline Ce2YEr at its relaxed geometry.

```
4
Lattice="3.354 0.000 0.000 1.677 2.905 0.000 1.677 0.968 12.317" Properties=species:S:1:pos:R:3 pbc="T T T"
Er 0.000 0.000 0.000
Y 3.354 1.937 6.158
Ce 1.677 0.968 9.178
Ce 5.031 2.905 3.139
```

Results
The total moment is 1.5 Bohr magnetons per cell. The space group is R-3m, No. 166. As for the mass density: 7.422 g/cm³.



List of relative energies, unit meV/atom: <a> 0; <b> 14



<a>
## Ce2YEr (GGA-PBE)

Data for crystalline Ce2YEr at its relaxed geometry.

```
4
Lattice="-0.520 3.198 1.237 -3.429 -0.481 -0.199 -0.034 -3.656 9.443" Properties=species:S:1:pos:R:3 pbc="T T T"
Ce -0.026 -2.753 7.111
Er -1.975 1.359 0.519
Ce -0.008 -0.903 2.332
Y -1.992 -0.469 5.241
```

Results
The total moment is 1.6 Bohr magnetons per cell. The space group is P4/mmm, No. 123. As for the mass density: 7.312 g/cm³.



<b>
## Ce2YEr (GGA-PBE)

Data for crystalline Ce2YEr at its relaxed geometry.

```
4
Lattice="-2.095 -0.007 2.789 -3.077 -1.637 -0.135 3.267 -10.235 4.610" Properties=species:S:1:pos:R:3 pbc="T T T"
Ce 2.003 -7.781 3.667
Ce -0.455 -3.010 1.832
Er -0.936 -5.972 3.645
Y -0.201 -11.291 6.364
```

Results
The total moment is 1.6 Bohr magnetons per cell. The space group is R3m, No. 160. As for the mass density: 7.340 g/cm³.



<c>
## Ce2YEr (GGA-PBE)

Data for crystalline Ce2YEr at its relaxed geometry.

```
8
Lattice="8.907 2.518 0.637 3.261 5.452 1.261 1.604 1.451 6.201" Properties=species:S:1:pos:R:3 pbc="T T T"
Ce 4.979 4.734 1.313
Ce 2.721 1.866 0.640
Ce 8.792 4.687 6.787
Er 5.473 5.353 4.624
Y 2.432 3.452 3.731
Ce 11.051 7.556 7.460
Y 5.255 1.985 3.419
Er 8.299 4.068 3.476
```

Results
The total moment is 0.0 Bohr magnetons per cell. The space group is P-1, No. 2. As for the mass density: 7.533 g/cm³.



List of relative energies, unit meV/atom: <a> 18; <b> 0; <c> 76



<a>
## Ce3ErZn8 (GGA-PBE)

Data for crystalline Ce3ErZn8 at its relaxed geometry.

```
12
Lattice="5.604 0.000 0.000 -2.802 4.853 0.000 0.000 0.000 8.556" Properties=species:S:1:pos:R:3 pbc="T T T"
Ce 2.802 1.618 0.663
Ce 0.000 0.000 8.067
Zn 1.402 4.045 2.168
Zn 0.000 3.235 8.536
Ce 2.802 1.618 3.564
Zn -1.402 4.045 2.168
Zn 0.000 3.235 4.285
Zn 0.000 1.616 2.168
Zn 1.432 2.408 6.390
Zn 2.802 0.036 6.390
Er 0.000 0.000 4.826
Zn 4.172 2.408 6.390
```

Results
The total moment is 1.9 Bohr magnetons per cell. The space group is P3m1, No. 156. As for the mass density: 7.927 g/cm³.



<b>
## Ce3ErZn8 (GGA-PBE)

Data for crystalline Ce3ErZn8 at its relaxed geometry.

```
12
Lattice="5.495 0.000 0.000 2.747 4.759 0.000 2.747 1.586 8.924" Properties=species:S:1:pos:R:3 pbc="T T T"
Zn 5.495 4.751 1.705
Zn 6.862 2.383 1.705
Er 8.242 4.759 3.313
Zn 9.600 5.543 6.105
Zn 8.242 4.759 8.360
Zn 4.128 2.383 1.705
Zn 2.747 1.586 3.908
Zn 8.242 3.190 6.105
Ce 5.495 3.172 7.795
Zn 6.884 5.543 6.105
Ce 2.747 1.586 8.861
Ce 5.495 3.172 4.565
```

Results
The total moment is 1.8 Bohr magnetons per cell. The space group is R3m, No. 160. As for the mass density: 7.906 g/cm³.



List of relative energies, unit meV/atom: <a> 8; <b> 0



<a>
## CeErZr (GGA-PBE)

Data for crystalline CeErZr at its relaxed geometry.

```
3
Lattice="-2.246 2.156 -1.085 -1.707 -0.372 2.796 5.860 4.723 2.263" Properties=species:S:1:pos:R:3 pbc="T T T"
Zr 2.596 3.753 2.084
Er 1.844 6.417 3.924
Ce -0.627 2.844 1.939
```

Results
The total moment is 0.5 Bohr magnetons per cell. The space group is I4mm, No. 107. As for the mass density: 8.111 g/cm³.



<b>
## CeErZr (GGA-PBE)

Data for crystalline CeErZr at its relaxed geometry.

```
6
Lattice="-1.383 -3.240 1.448 2.075 0.523 3.151 -8.514 5.717 4.658" Properties=species:S:1:pos:R:3 pbc="T T T"
Zr -6.982 5.646 5.963
Ce -4.496 0.934 2.805
Er -0.909 1.568 2.640
Ce -3.673 3.424 4.152
Zr -1.186 -1.288 0.995
Er -7.259 2.790 4.317
```

Results
The total moment is 0.0 Bohr magnetons per cell. The space group is P4/nmm, No. 129. As for the mass density: 8.103 g/cm³.



List of relative energies, unit meV/atom: <a> 0; <b> 26



<a>
## CeEuGa (GGA-PBE)

Data for crystalline CeEuGa at its relaxed geometry.

```
3
Lattice="-3.633 0.574 -0.065 -0.438 -2.469 2.692 2.690 5.588 3.048" Properties=species:S:1:pos:R:3 pbc="T T T"
Ce 0.401 2.842 2.671
Ga -1.812 0.639 2.805
Eu 0.030 0.211 0.198
```

Results
The total moment is 8.8 Bohr magnetons per cell. The space group is I4mm, No. 107. As for the mass density: 6.934 g/cm³.



<b>
## CeEuGa (GGA-PBE)

Data for crystalline CeEuGa at its relaxed geometry.

```
3
Lattice="-2.721 2.203 0.792 -0.150 -1.860 4.658 2.906 3.960 -1.028" Properties=species:S:1:pos:R:3 pbc="T T T"
Eu 0.040 3.515 1.405
Ce 0.004 0.780 3.015
Ga -0.008 0.007 0.002
```

Results
The total moment is 7.8 Bohr magnetons per cell. The space group is P3m1, No. 156. As for the mass density: 7.675 g/cm³.



List of relative energies, unit meV/atom: <a> 0; <b> 68



<a>
## Ce2EuGe (GGA-PBE)

Data for crystalline Ce2EuGe at its relaxed geometry.

```
4
Lattice="-3.679 0.996 -1.085 -1.427 -3.138 1.955 -0.692 4.146 6.151" Properties=species:S:1:pos:R:3 pbc="T T T"
Ce -0.566 3.391 5.030
Ge -2.553 -1.071 0.435
Ce -0.126 0.756 1.121
Eu -2.898 1.002 3.510
```

Results
The total moment is 10.3 Bohr magnetons per cell. The space group is P4/mmm, No. 123. As for the mass density: 7.166 g/cm³.



<b>
## Ce2EuGe (GGA-PBE)

Data for crystalline Ce2EuGe at its relaxed geometry.

```
4
Lattice="5.315 0.000 0.000 2.657 4.603 0.000 2.657 1.534 4.340" Properties=species:S:1:pos:R:3 pbc="T T T"
Eu 0.000 0.000 0.000
Ce 7.972 4.603 3.256
Ge 5.315 3.069 2.170
Ce 2.657 1.534 1.084
```

Results
The total moment is 10.0 Bohr magnetons per cell. The space group is Fm-3m, No. 225. As for the mass density: 7.896 g/cm³.



<c>
## Ce2EuGe (GGA-PBE)

Data for crystalline Ce2EuGe at its relaxed geometry.

```
4
Lattice="4.784 0.000 0.000 0.000 4.655 0.000 0.000 0.000 4.655" Properties=species:S:1:pos:R:3 pbc="T T T"
Ce 0.000 2.328 0.000
Ce 0.000 0.000 2.328
Eu 2.392 2.328 2.328
Ge 2.392 0.000 0.000
```

Results
The total moment is 9.4 Bohr magnetons per cell. The space group is P4/mmm, No. 123. As for the mass density: 8.086 g/cm³.



List of relative energies, unit meV/atom: <a> 0; <b> 206; <c> 25



<a>
## CeEuGe2 (GGA-PBE)

Data for crystalline CeEuGe2 at its relaxed geometry.

```
4
Lattice="-4.640 -2.311 -0.146 -0.362 -5.009 -1.290 -1.258 -3.518 3.595" Properties=species:S:1:pos:R:3 pbc="T T T"
Ce -3.130 -5.419 1.080
Eu 0.000 0.000 0.000
Ge -1.565 -2.710 0.540
Ge -4.695 -8.129 1.619
```

Results
The total moment is 7.9 Bohr magnetons per cell. The space group is Fm-3m, No. 225. As for the mass density: 7.367 g/cm³.



<b>
## CeEuGe2 (GGA-PBE)

Data for crystalline CeEuGe2 at its relaxed geometry.

```
4
Lattice="3.413 0.000 0.000 0.000 3.413 0.000 0.000 0.000 8.280" Properties=species:S:1:pos:R:3 pbc="T T T"
Ge 0.000 0.000 2.028
Eu 1.706 1.706 4.140
Ce 1.706 1.706 0.000
Ge 0.000 0.000 6.252
```

Results
The total moment is 6.3 Bohr magnetons per cell. The space group is P4/mmm, No. 123. As for the mass density: 7.530 g/cm³.



List of relative energies, unit meV/atom: <a> 45; <b> 0



<a>
## CeEuH2 (GGA-PBE)

Data for crystalline CeEuH2 at its relaxed geometry.

```
4
Lattice="3.582 0.000 0.000 1.791 3.102 0.000 1.791 1.034 6.032" Properties=species:S:1:pos:R:3 pbc="T T T"
Ce 0.000 0.000 0.000
H 5.373 3.102 4.611
H 1.791 1.034 1.421
Eu 3.582 2.068 3.016
```

Results
The total moment is 8.3 Bohr magnetons per cell. The space group is R-3m, No. 166. As for the mass density: 7.286 g/cm³.



<b>
## CeEuH2 (GGA-PBE)

Data for crystalline CeEuH2 at its relaxed geometry.

```
4
Lattice="-0.652 2.658 1.541 -1.808 -1.606 2.005 5.038 -0.955 3.779" Properties=species:S:1:pos:R:3 pbc="T T T"
Ce -1.230 0.526 1.773
H 3.816 -0.724 2.862
Eu 1.289 0.049 3.662
H 1.222 -0.232 0.916
```

Results
The total moment is 9.1 Bohr magnetons per cell. The space group is P4/mmm, No. 123. As for the mass density: 7.770 g/cm³.



List of relative energies, unit meV/atom: <a> 0; <b> 380